(1)
Density functional theory data (PBE) for MgBi3P after structural relaxation.

Summary:
total magnetic moment	0.00	Bohr magnetons per cell
uncorrected energy	-3.27	eV/atom
V	162	Å³/cell

Cell lengths 5.454, 5.454, 5.454 Å; angles 90.00, 90.00, 90.00 degrees
Space group Pm-3m (No. 221)
Asymmetric unit:
Mg1 0.000 0.000 0.000 (multiplicity 1)
Bi1 0.000 0.500 0.500 (multiplicity 3)
P1 0.500 0.500 0.500 (multiplicity 1)

=====

(2)
Density functional theory data (PBE) for Sr2AsCl after structural relaxation.

Summary:
formation energy from raw total energies	-6.49	eV/f.u.
total magnetic moment	0.00	Bohr magnetons per cell
V	396	Å³/cell

Cell lengths 4.4594, 4.4594, 22.9862 Å; angles 90.00, 90.00, 120.00 degrees
Space group R3m (No. 160, hexagonal axes)
Asymmetric unit:
Sr1 0.0000 0.0000 0.0000 (multiplicity 3)
Sr2 0.0000 0.0000 0.1908 (multiplicity 3)
As1 0.0000 0.0000 0.5961 (multiplicity 3)
Cl1 0.0000 0.0000 0.7694 (multiplicity 3)

=====

(3)
Density functional theory data (PBE) for BiPt2Au2 after structural relaxation.

Summary:
total magnetic moment	0.00	Bohr magnetons per cell
uncorrected energy	-4.46	eV/atom
V	205	Å³/cell

Cell lengths 3.912, 3.912, 13.379 Å; angles 90.00, 90.00, 90.00 degrees
Space group I4/mmm (No. 139)
Asymmetric unit:
Bi1 0.000 0.000 0.000 (multiplicity 2)
Pt1 0.000 0.000 0.401 (multiplicity 4)
Au1 0.000 0.500 0.250 (multiplicity 4)

=====

(4)
Density functional theory data (PBE) for CeNbSi2Tc after structural relaxation.

Summary:
formation energy from raw total energies	-3.05	eV/f.u.
total magnetic moment	0.83	Bohr magnetons per cell
V	183	Å³/cell

Cell lengths 4.035, 4.035, 11.262 Å; angles 90.00, 90.00, 90.00 degrees
Space group I-4m2 (No. 119)
Asymmetric unit:
Ce1 0.000 0.000 0.000 (multiplicity 2)
Nb1 0.000 0.500 0.750 (multiplicity 2)
Si1 0.000 0.000 0.392 (multiplicity 4)
Tc1 0.000 0.500 0.250 (multiplicity 2)

=====

(5)
Density functional theory data (PBE) for LuTiPdRu after structural relaxation.

Summary:
total magnetic moment	0.00	Bohr magnetons per cell
uncorrected energy	-7.32	eV/atom
V	275	Å³/cell

Cell lengths 6.504, 6.504, 6.504 Å; angles 90.00, 90.00, 90.00 degrees
Space group F-43m (No. 216)
Asymmetric unit:
Lu1 0.000 0.000 0.000 (multiplicity 4)
Ti1 0.000 0.000 0.500 (multiplicity 4)
Pd1 0.250 0.250 0.750 (multiplicity 4)
Ru1 0.250 0.250 0.250 (multiplicity 4)

=====

(6)
Density functional theory data (PBE) for PmDySi2 after structural relaxation.

Summary:
formation energy from raw total energies	-1.82	eV/f.u.
total magnetic moment	0.00	Bohr magnetons per cell
V	89	Å³/cell

Cell lengths 3.324, 3.324, 8.080 Å; angles 90.00, 90.00, 90.00 degrees
Space group P4/mmm (No. 123)
Asymmetric unit:
Pm1 0.000 0.000 0.000 (multiplicity 1)
Dy1 0.000 0.000 0.500 (multiplicity 1)
Si1 0.500 0.500 0.257 (multiplicity 2)

=====

Number 1 is which compound? MgBi3P